# 1
Crystalline CdAs2Ru at its relaxed geometry. Source: Alexandria via LeMat-Bulk, functional PBE-GGA.

a = 4.3672 Å, b = 4.3890 Å, c = 7.2514 Å
α = 90.00°, β = 90.00°, γ = 90.00°
Fractional coordinates of all 8 atoms:
1 Cd 0.0000 0.0000 0.0000
2 Cd 0.5000 0.5000 0.5000
3 As 0.0000 0.5000 0.2492
4 As 0.0000 0.5000 0.7508
5 As 0.5000 0.0000 0.2508
6 As 0.5000 0.0000 0.7492
7 Ru 0.0000 0.0000 0.5000
8 Ru 0.5000 0.5000 0.0000

Calculated formation energy: 252 meV per atom
DOS at the Fermi energy: 1.86 states/eV/f.u.
SG: No. 71

***

# 2
Crystalline LaDy3Th3 at its relaxed geometry. Source: Alexandria via LeMat-Bulk, functional PBE-GGA.

a = 13.1259 Å, b = 13.1259 Å, c = 6.4899 Å
α = 99.48°, β = 99.48°, γ = 117.32°
Fractional coordinates of all 28 atoms:
1 La 0.0000 0.0000 0.0000
2 La 0.0016 0.1703 0.5875
3 La 0.1703 0.0016 0.5875
4 La 0.8321 0.8321 0.4201
5 Dy 0.0005 0.2732 0.1319
6 Dy 0.0001 0.4501 0.7373
7 Dy 0.2604 0.5306 0.4935
8 Dy 0.2705 0.7405 0.2331
9 Dy 0.2732 0.0005 0.1319
10 Dy 0.4501 0.0001 0.7373
11 Dy 0.4704 0.7306 0.9630
12 Dy 0.5306 0.2604 0.4935
13 Dy 0.5510 0.5510 0.2875
14 Dy 0.7276 0.7276 0.8611
15 Dy 0.7306 0.4704 0.9630
16 Dy 0.7405 0.2705 0.2331
17 Th 0.0004 0.7432 0.0906
18 Th 0.0005 0.5264 0.2586
19 Th 0.1710 0.7428 0.7033
20 Th 0.2578 0.2578 0.3460
21 Th 0.2585 0.4300 0.9621
22 Th 0.4300 0.2585 0.9621
23 Th 0.4744 0.4744 0.7323
24 Th 0.5264 0.0005 0.2586
25 Th 0.5718 0.8294 0.5325
26 Th 0.7432 0.0004 0.0906
27 Th 0.7428 0.1710 0.7033
28 Th 0.8294 0.5718 0.5325

Calculated formation energy: 178 meV per atom
DOS at the Fermi energy: 10.27 states/eV/f.u.
SG: No. 8

***

# 3
Crystalline La3Al3Au2 at its relaxed geometry. Source: Alexandria via LeMat-Bulk, functional PBE-GGA.

a = 8.6128 Å, b = 15.6433 Å, c = 5.9281 Å
α = 90.00°, β = 90.00°, γ = 90.00°
Fractional coordinates of all 32 atoms:
1 La 0.0464 0.1102 0.1233
2 La 0.0464 0.3898 0.1233
3 La 0.1920 0.2500 0.6055
4 La 0.3080 0.7500 0.1055
5 La 0.4536 0.6102 0.6233
6 La 0.4536 0.8898 0.6233
7 La 0.5464 0.1102 0.3767
8 La 0.5464 0.3898 0.3767
9 La 0.6920 0.2500 0.8945
10 La 0.8080 0.7500 0.3945
11 La 0.9536 0.6102 0.8767
12 La 0.9536 0.8898 0.8767
13 Al 0.1608 0.7500 0.5987
14 Al 0.1866 0.0344 0.6157
15 Al 0.1866 0.4656 0.6157
16 Al 0.3134 0.5344 0.1157
17 Al 0.3134 0.9656 0.1157
18 Al 0.3392 0.2500 0.0987
19 Al 0.6608 0.7500 0.9013
20 Al 0.6866 0.0344 0.8843
21 Al 0.6866 0.4656 0.8843
22 Al 0.8134 0.5344 0.3843
23 Al 0.8134 0.9656 0.3843
24 Al 0.8392 0.2500 0.4013
25 Au 0.0973 0.6045 0.3717
26 Au 0.0973 0.8955 0.3717
27 Au 0.4027 0.1045 0.8717
28 Au 0.4027 0.3955 0.8717
29 Au 0.5973 0.6045 0.1283
30 Au 0.5973 0.8955 0.1283
31 Au 0.9027 0.1045 0.6283
32 Au 0.9027 0.3955 0.6283

Calculated formation energy: -616 meV per atom
DOS at the Fermi energy: 7.65 states/eV/f.u.
SG: No. 62

***

# 4
Crystalline Ag2C3 at its relaxed geometry. Source: Alexandria via LeMat-Bulk, functional PBE-GGA.

a = 2.6443 Å, b = 2.6443 Å, c = 36.0120 Å
α = 90.00°, β = 90.00°, γ = 120.00°
Fractional coordinates of all 15 atoms:
1 Ag 0.0000 0.0000 0.1139
2 Ag 0.0000 0.0000 0.8861
3 Ag 0.3333 0.6667 0.5528
4 Ag 0.3333 0.6667 0.7806
5 Ag 0.6667 0.3333 0.2194
6 Ag 0.6667 0.3333 0.4472
7 C 0.0000 0.0000 0.3333
8 C 0.0000 0.0000 0.5000
9 C 0.0000 0.0000 0.6667
10 C 0.3333 0.6667 0.0000
11 C 0.3333 0.6667 0.1667
12 C 0.3333 0.6667 0.3333
13 C 0.6667 0.3333 0.0000
14 C 0.6667 0.3333 0.6667
15 C 0.6667 0.3333 0.8333

Calculated formation energy: 1367 meV per atom
DOS at the Fermi energy: 3.06 states/eV/f.u.
SG: No. 166

***

# 5
Crystalline Nb2SbPd at its relaxed geometry. Source: Alexandria via LeMat-Bulk, functional PBE-GGA.

a = 4.0300 Å, b = 4.0300 Å, c = 4.4594 Å
α = 90.00°, β = 90.00°, γ = 90.00°
Fractional coordinates of all 4 atoms:
1 Nb 0.0000 0.5000 0.0000
2 Nb 0.5000 0.0000 0.0000
3 Sb 0.0000 0.0000 0.5000
4 Pd 0.5000 0.5000 0.5000

DOS at the Fermi energy: 3.14 states/eV/f.u.
SG: No. 123
Formation energy (no corrections): -0.24 eV per atom

***

# 6
Crystalline Rb2CoNCl6 at its relaxed geometry. Source: Alexandria via LeMat-Bulk, functional PBE-GGA.

a = 7.0206 Å, b = 7.0206 Å, c = 7.0206 Å
α = 114.01°, β = 114.01°, γ = 100.72°
Fractional coordinates of all 10 atoms:
1 Rb 0.2500 0.7500 0.5000
2 Rb 0.7500 0.2500 0.5000
3 Co 0.0000 0.0000 0.0000
4 N 0.5000 0.5000 0.0000
5 Cl 0.2069 0.2069 0.4138
6 Cl 0.2069 0.7931 0.0000
7 Cl 0.2748 0.2748 0.0000
8 Cl 0.7252 0.7252 0.0000
9 Cl 0.7931 0.2069 0.0000
10 Cl 0.7931 0.7931 0.5862

DOS at the Fermi energy: 11.59 states/eV/f.u.
SG: No. 139
Formation energy (no corrections): -0.56 eV per atom